# Y3ZnO6

Crystalline Y3ZnO6 at its relaxed geometry (PBE-GGA, Alexandria).

Cell: 5.480 7.156 7.156 Å, 102.30 90.00 90.00°
Fractional positions:
Y  0.474  0.915  0.700
Y  0.974  0.700  0.915
Y  0.424  0.396  0.604
Y  0.924  0.604  0.396
Y  0.974  0.085  0.300
Y  0.474  0.300  0.085
Zn  0.998  0.192  0.808
Zn  0.498  0.808  0.192
O  0.199  0.677  0.643
O  0.699  0.643  0.677
O  0.196  0.427  0.897
O  0.696  0.897  0.427
O  0.174  0.033  0.967
O  0.652  0.217  0.783
O  0.152  0.783  0.217
O  0.674  0.967  0.033
O  0.196  0.103  0.573
O  0.696  0.573  0.103
O  0.199  0.357  0.323
O  0.699  0.323  0.357

Values from the calculation:
energy	-7.8953	eV per atom
mass density	5186	kg/m3

=====

# AlTcIr

Crystalline AlTcIr at its relaxed geometry (PBE-GGA, Alexandria).

Cell: 5.928 5.928 5.928 Å, 152.87 152.87 38.75°
Fractional positions:
Ir  0.332  0.332  0.000
Tc  0.671  0.671  0.000
Al  0.998  0.998  0.000

Values from the calculation:
energy	-8.0820	eV per atom
mass density	12176	kg/m3
relative energy among the computed polymorphs	0	meV/atom

=====

# Ho2Er3S6

Crystalline Ho2Er3S6 at its relaxed geometry (PBE-GGA, Alexandria).

Cell: 6.714 6.694 6.682 Å, 80.36 70.50 59.90°
Fractional positions:
Ho  0.165  0.669  0.500
Ho  0.835  0.331  0.500
Er  0.000  0.000  0.000
Er  0.337  0.326  0.000
Er  0.663  0.674  0.000
S  0.416  0.667  0.752
S  0.749  0.000  0.747
S  0.083  0.333  0.752
S  0.251  0.000  0.253
S  0.584  0.333  0.248
S  0.917  0.667  0.248

Values from the calculation:
energy	-6.3904	eV per atom
mass density	6944	kg/m3

=====

# Rh5C4

Crystalline Rh5C4 at its relaxed geometry (PBE-GGA, Alexandria).

Cell: 7.212 7.212 7.212 Å, 92.02 92.02 158.33°
Fractional positions:
Rh  0.000  0.000  0.000
Rh  0.336  0.664  0.000
Rh  0.664  0.336  0.000
Rh  0.664  0.664  0.329
Rh  0.336  0.336  0.671
C  0.208  0.000  0.208
C  0.792  0.000  0.792
C  0.000  0.792  0.792
C  0.000  0.208  0.208

Values from the calculation:
energy	-6.9938	eV per atom
mass density	6867	kg/m3
relative energy among the computed polymorphs	330	meV/atom

=====

# LaCeSmY2

Crystalline LaCeSmY2 at its relaxed geometry (PBE-GGA, Alexandria).

Cell: 6.401 8.648 6.160 Å, 96.53 90.00 90.00°
Fractional positions:
La  0.000  0.000  0.000
La  0.000  0.000  0.500
Ce  0.545  0.000  0.250
Ce  0.455  0.000  0.750
Sm  0.169  0.500  0.750
Sm  0.831  0.500  0.250
Y  0.679  0.689  0.784
Y  0.679  0.311  0.716
Y  0.321  0.689  0.284
Y  0.321  0.311  0.216

Values from the calculation:
energy	-5.4151	eV per atom
mass density	5952	kg/m3

=====

# LuHgPdRh

Crystalline LuHgPdRh at its relaxed geometry (PBE-GGA, Alexandria).

Cell: 4.692 4.692 4.692 Å, 60.00 60.00 60.00°
Fractional positions:
Lu  0.250  0.250  0.250
Rh  0.500  0.500  0.500
Hg  0.750  0.750  0.750
Pd  0.000  0.000  0.000

Values from the calculation:
energy	-4.9802	eV per atom
mass density	13299	kg/m3

=====

Among the records above, which one has the lowest energy?
AlTcIr

=====

What did the third record say?
# Ho2Er3S6

Crystalline Ho2Er3S6 at its relaxed geometry (PBE-GGA, Alexandria).

Cell: 6.714 6.694 6.682 Å, 80.36 70.50 59.90°
Fractional positions:
Ho  0.165  0.669  0.500
Ho  0.835  0.331  0.500
Er  0.000  0.000  0.000
Er  0.337  0.326  0.000
Er  0.663  0.674  0.000
S  0.416  0.667  0.752
S  0.749  0.000  0.747
S  0.083  0.333  0.752
S  0.251  0.000  0.253
S  0.584  0.333  0.248
S  0.917  0.667  0.248

Values from the calculation:
energy	-6.3904	eV per atom
mass density	6944	kg/m3

=====

Look up the energy of the sixth one.
-4.9802 eV per atom